{"formula": "ErVO4", "functional": "GGA+U", "state": "relaxed", "magnetic_moment_mub_per_cell": 0.00, "total_energy_ev_per_cell": -96.2, "n_ef_per_ev_fu": 0.0, "spacegroup": "I4_1/a, No. 88", "lattice_angstrom": [[6.643, 0.002, 0.000], [2.791, 6.028, 0.000], [-4.717, -3.015, 3.576]], "species": ["O", "O", "O", "O", "O", "O", "O", "O", "V", "V", "Er", "Er"], "fractional_positions": [[0.088, 0.182, 0.607], [0.175, 0.769, 0.107], [0.932, 0.825, 0.593], [0.519, 0.912, 0.093], [0.818, 0.425, 0.907], [0.662, 0.068, 0.893], [0.575, 0.481, 0.393], [0.231, 0.338, 0.407], [0.000, 0.000, 0.000], [0.750, 0.250, 0.500], [0.500, 0.500, 0.000], [0.250, 0.750, 0.500]]}